[1]
Computed, not measured: crystalline TiAlMoAu at its relaxed geometry at the GGA-PBE level of DFT.

Output
Relative energy among the computed polymorphs in eV/f.u.: 0.000

abc: 3.440 4.137 4.452
angles: 90.00 90.00 90.00
Space group Pmmm (No. 47)
Asymmetric unit:
Ti1 0.000 0.000 0.000 [1 per cell]
Al1 0.000 0.500 0.500 [1 per cell]
Mo1 0.500 0.500 0.000 [1 per cell]
Au1 0.500 0.000 0.500 [1 per cell]

---

[2]
Computed, not measured: crystalline V2ZnPt at its relaxed geometry at the GGA-PBE level of DFT.

Output
VASP energy in eV per atom: -6.6623

abc: 3.681 3.681 4.124
angles: 90.00 90.00 90.00
Space group P4/mmm (No. 123)
Asymmetric unit:
V1 0.000 0.500 0.000 [2 per cell]
Zn1 0.000 0.000 0.500 [1 per cell]
Pt1 0.500 0.500 0.500 [1 per cell]

---

[3]
Computed, not measured: crystalline Rb2AlCl6F at its relaxed geometry at the GGA-PBE level of DFT.

Output
Uncorrected formation energy in eV/atom: -1.3672

abc: 7.716 7.716 9.094
angles: 90.00 90.00 90.00
Space group I4/mmm (No. 139)
Asymmetric unit:
Rb1 0.000 0.500 0.250 [4 per cell]
Al1 0.000 0.000 0.000 [2 per cell]
Cl1 0.000 0.000 0.279 [4 per cell]
Cl2 0.208 0.208 0.000 [8 per cell]
F1 0.000 0.000 0.500 [2 per cell]

---

[4]
Computed, not measured: crystalline AcEuAl at its relaxed geometry at the GGA-PBE level of DFT.

Output
Relative energy among the computed polymorphs in eV/f.u.: 0.000

abc: 3.938 3.938 13.145
angles: 90.00 90.00 90.00
Space group I4mm (No. 107)
Asymmetric unit:
Ac1 0.000 0.000 0.000 [2 per cell]
Eu1 0.000 0.000 0.278 [2 per cell]
Al1 0.000 0.000 0.646 [2 per cell]

---

[5]
Computed, not measured: crystalline La2PrDyHo2 at its relaxed geometry at the GGA-PBE level of DFT.

Output
VASP energy in eV per atom: -4.6610

abc: 5.749 10.002 7.100
angles: 90.00 90.00 90.00
Space group Pmc2_1 (No. 26)
Asymmetric unit:
La1 0.000 0.000 0.000 [2 per cell]
La2 0.500 0.168 0.250 [2 per cell]
Pr1 0.500 0.500 0.000 [2 per cell]
Dy1 0.000 0.336 0.750 [2 per cell]
Ho1 0.000 0.334 0.250 [2 per cell]
Ho2 0.500 0.168 0.750 [2 per cell]

---

[6]
Computed, not measured: crystalline HgTe2Se at its relaxed geometry at the GGA-PBE level of DFT.

Output
Relative energy among the computed polymorphs in eV/f.u.: 0.604
Uncorrected formation energy in eV/atom: 0.1564

abc: 6.036 6.036 15.881
angles: 90.00 90.00 90.00
Space group I-42d (No. 122)
Asymmetric unit:
Hg1 0.000 0.000 0.000 [4 per cell]
Te1 0.220 0.250 0.625 [8 per cell]
Se1 0.000 0.000 0.500 [4 per cell]

---

[7]
Computed, not measured: crystalline Er5Tl2C at its relaxed geometry at the GGA-PBE level of DFT.

Output
VASP energy in eV per atom: -4.5383

abc: 4.891 16.346 12.204
angles: 90.00 90.00 90.00
Space group Cmcm (No. 63)
Asymmetric unit:
Er1 0.000 0.093 0.111 [8 per cell]
Er2 0.000 0.291 0.750 [4 per cell]
Er3 0.000 0.294 0.088 [8 per cell]
Tl1 0.000 0.096 0.633 [8 per cell]
C1 0.000 0.192 0.250 [4 per cell]

---

[8]
Computed, not measured: crystalline Hg3Au at its relaxed geometry at the GGA-PBE level of DFT.

Output
Relative energy among the computed polymorphs in eV/f.u.: 0.387

abc: 5.678 5.678 5.678
angles: 90.00 90.00 90.00
Space group Pm-3n (No. 223)
Asymmetric unit:
Hg1 0.000 0.250 0.500 [6 per cell]
Au1 0.000 0.000 0.000 [2 per cell]

---

[9]
Computed, not measured: crystalline NpCoS2 at its relaxed geometry at the GGA-PBE level of DFT.

Output
Relative energy among the computed polymorphs in eV/f.u.: 0.000
Uncorrected formation energy in eV/atom: -1.0085

abc: 7.918 3.656 9.940
angles: 90.00 90.00 90.00
Space group Pnma (No. 62)
Asymmetric unit:
Np1 0.243 0.250 0.202 [4 per cell]
Co1 0.060 0.250 0.925 [4 per cell]
S1 0.007 0.750 0.291 [4 per cell]
S2 0.200 0.750 0.979 [4 per cell]

---

[10]
Computed, not measured: crystalline AgAsPt2 at its relaxed geometry at the GGA-PBE level of DFT.

Output
VASP energy in eV per atom: -4.9205

abc: 10.310 3.057 4.691
angles: 90.00 112.31 90.00
Space group Cm (No. 8)
Asymmetric unit:
Ag1 0.000 0.000 0.000 [2 per cell]
As1 0.238 0.000 0.697 [2 per cell]
Pt1 0.031 0.500 0.525 [2 per cell]
Pt2 0.277 0.500 0.292 [2 per cell]